Computed, not measured: a crystal of HfBeNO2 relaxed with PBEsol at the SCAN level of DFT.

a = 3.988 Å, b = 3.988 Å, c = 4.163 Å
α = 90.00°, β = 90.00°, γ = 90.00°
Element x y z (fractional)
O 0.500 0.000 0.000
O 0.000 0.500 0.000
Hf 0.000 0.000 0.000
Be 0.500 0.500 0.500
N 0.000 0.000 0.500

Properties
As for the formation energy without anion corrections: -0.893 eV/atom. The space-group type is P4/mmm (123).